*a*
A relaxed KAg3Ge crystal. Source: the Alexandria database, functional GGA-PBE.

Cell lengths 5.4100, 5.4100, 5.4100 Å; angles 90.00, 90.00, 90.00 degrees
With the nearest neighbours (Å) after each atom.
Space group Pm-3m (No. 221)
Asymmetric unit:
K1 0.0000 0.0000 0.0000 (multiplicity 1)  6 Ag 2.70
Ag1 0.0000 0.0000 0.5000 (multiplicity 3)  2 K 2.70
Ge1 0.5000 0.5000 0.5000 (multiplicity 1)  12 Ag 3.83

## Properties
- ρ (Mg/m³) = 4.57
- magnetic moment (Bohr magnetons per cell) = 0.000

*b*
A relaxed KAg3Ge crystal. Source: the Alexandria database, functional GGA-PBE.

Cell lengths 15.2960, 9.5121, 6.2518 Å; angles 90.00, 102.39, 90.00 degrees
With the nearest neighbours (Å) after each atom.
Space group C2/c (No. 15)
Asymmetric unit:
K1 0.0000 0.0157 0.2500 (multiplicity 4)  3 K 3.14-3.27, 2 Ge 3.39, 4 Ag 3.46-3.48
K2 0.0000 0.3593 0.2500 (multiplicity 4)  1 K 3.27, 4 Ag 3.38-3.43, 6 Ge 3.39-3.42
Ag1 0.1813 0.4984 0.5883 (multiplicity 8)  2 Ge 2.73-2.77, 4 Ag 2.88-2.94
Ag2 0.1871 0.1535 0.0991 (multiplicity 8)  1 Ge 2.63, 2 Ag 2.88-2.93
Ag3 0.1891 0.1600 0.5885 (multiplicity 8)  1 Ge 2.65, 3 Ag 2.89-2.94
Ge1 0.0881 0.3126 0.7964 (multiplicity 8)  1 Ge 2.63, 4 Ag 2.63-2.77

## Properties
- ρ (Mg/m³) = 6.51
- magnetic moment (Bohr magnetons per cell) = 0.000

*c*
A relaxed KAg3Ge crystal. Source: the Alexandria database, functional GGA-PBE.

Cell lengths 5.0779, 5.0779, 5.0779 Å; angles 90.00, 90.00, 90.00 degrees
With the nearest neighbours (Å) after each atom.
Space group Pm-3m (No. 221)
Asymmetric unit:
K1 0.0000 0.0000 0.0000 (multiplicity 1)  12 Ag 3.59
Ag1 0.0000 0.5000 0.5000 (multiplicity 3)  2 Ge 2.54
Ge1 0.5000 0.5000 0.5000 (multiplicity 1)  6 Ag 2.54

## Properties
- ρ (Mg/m³) = 5.52
- magnetic moment (Bohr magnetons per cell) = 0.000

Stability summary: most stable *b*, least stable *a*.